No. 1
First-principles (meta-GGA SCAN) data for a crystal of In2HgRh relaxed with PBEsol, as listed in Alexandria.

## Properties
- Energy: -168.91 eV per formula unit
- ΔH_f (0 K): -0.20 eV per formula unit

Cell lengths 3.6846, 3.6846, 5.6845 Å; angles 90.00, 90.00, 90.00 degrees
Space group P4mm (No. 99)
Unique sites:
In: 0.0000 0.0000 0.0000 (multiplicity 1)
In: 0.5000 0.5000 0.2999 (multiplicity 1)
Hg: 0.5000 0.5000 0.7732 (multiplicity 1)
Rh: 0.0000 0.0000 0.4901 (multiplicity 1)

No. 2
First-principles (meta-GGA SCAN) data for a crystal of In2HgRh relaxed with PBEsol, as listed in Alexandria.

## Properties
- Energy: -169.54 eV per formula unit
- ΔH_f (0 K): -0.83 eV per formula unit

Cell lengths 3.0846, 3.0516, 8.5850 Å; angles 90.00, 90.47, 90.00 degrees
Space group P2/m (No. 10)
Unique sites:
In: 0.0051 0.0000 0.1999 (multiplicity 2)
Hg: 0.0000 0.5000 0.5000 (multiplicity 1)
Rh: 0.5000 0.5000 0.0000 (multiplicity 1)

No. 3
First-principles (meta-GGA SCAN) data for a crystal of InHg2Ru relaxed with PBEsol, as listed in Alexandria.

## Properties
- Energy: -203.22 eV per formula unit
- ΔH_f (0 K): 1.32 eV per formula unit

Cell lengths 3.4514, 3.6474, 5.9747 Å; angles 90.00, 90.00, 90.00 degrees
Space group Pmm2 (No. 25)
Unique sites:
In: 0.0000 0.0000 0.0000 (multiplicity 1)
Hg: 0.0000 0.0000 0.4643 (multiplicity 1)
Hg: 0.5000 0.5000 0.7165 (multiplicity 1)
Ru: 0.5000 0.5000 0.2051 (multiplicity 1)

No. 4
First-principles (meta-GGA SCAN) data for a crystal of InHg2Ru relaxed with PBEsol, as listed in Alexandria.

## Properties
- Energy: -203.21 eV per formula unit
- ΔH_f (0 K): 1.34 eV per formula unit

Cell lengths 10.3180, 3.2940, 4.8950 Å; angles 90.00, 114.99, 90.00 degrees
Space group Cm (No. 8)
Unique sites:
In: 0.0000 0.0000 0.0000 (multiplicity 2)
Hg: 0.2250 0.0000 0.6141 (multiplicity 2)
Hg: 0.4595 0.0000 0.4624 (multiplicity 2)
Ru: 0.2280 0.5000 0.0786 (multiplicity 2)

No. 5
First-principles (meta-GGA SCAN) data for a crystal of In2HgRu relaxed with PBEsol, as listed in Alexandria.

## Properties
- Energy: -168.90 eV per formula unit
- ΔH_f (0 K): 0.86 eV per formula unit

Cell lengths 3.4478, 3.8877, 5.6998 Å; angles 90.00, 90.00, 90.00 degrees
Space group Pmm2 (No. 25)
Unique sites:
In: 0.0000 0.0000 0.0000 (multiplicity 1)
In: 0.5000 0.5000 0.2957 (multiplicity 1)
Hg: 0.5000 0.5000 0.7700 (multiplicity 1)
Ru: 0.0000 0.0000 0.4912 (multiplicity 1)

No. 6
First-principles (meta-GGA SCAN) data for a crystal of In2HgRu relaxed with PBEsol, as listed in Alexandria.

## Properties
- Energy: -169.02 eV per formula unit
- ΔH_f (0 K): 0.75 eV per formula unit

Cell lengths 10.2868, 3.2969, 4.9117 Å; angles 90.00, 114.05, 90.00 degrees
Space group Cm (No. 8)
Unique sites:
In: 0.0000 0.0000 0.0000 (multiplicity 2)
In: 0.2228 0.0000 0.6175 (multiplicity 2)
Hg: 0.4561 0.0000 0.4600 (multiplicity 2)
Ru: 0.2281 0.5000 0.0666 (multiplicity 2)

No. 7
First-principles (meta-GGA SCAN) data for a crystal of InHg2Ru relaxed with PBEsol, as listed in Alexandria.

## Properties
- Energy: -203.05 eV per formula unit
- ΔH_f (0 K): 1.50 eV per formula unit

Cell lengths 4.1519, 4.1519, 4.2273 Å; angles 90.00, 90.00, 90.00 degrees
Space group P4/mmm (No. 123)
Unique sites:
In: 0.0000 0.0000 0.0000 (multiplicity 1)
Hg: 0.0000 0.5000 0.5000 (multiplicity 2)
Ru: 0.5000 0.5000 0.0000 (multiplicity 1)

No. 8
First-principles (meta-GGA SCAN) data for a crystal of InHg2Ru relaxed with PBEsol, as listed in Alexandria.

## Properties
- Energy: -203.17 eV per formula unit
- ΔH_f (0 K): 1.37 eV per formula unit

Cell lengths 3.9920, 3.9920, 9.2657 Å; angles 90.00, 90.00, 90.00 degrees
Space group I4/mmm (No. 139)
Unique sites:
In: 0.0000 0.0000 0.0000 (multiplicity 2)
Hg: 0.0000 0.5000 0.2500 (multiplicity 4)
Ru: 0.0000 0.0000 0.5000 (multiplicity 2)

No. 9
First-principles (meta-GGA SCAN) data for a crystal of InHg2Ru relaxed with PBEsol, as listed in Alexandria.

## Properties
- Energy: -202.82 eV per formula unit
- ΔH_f (0 K): 1.72 eV per formula unit

Cell lengths 2.9991, 2.9991, 8.8690 Å; angles 90.00, 90.00, 90.00 degrees
Space group P4/mmm (No. 123)
Unique sites:
In: 0.0000 0.0000 0.0000 (multiplicity 1)
Hg: 0.5000 0.5000 0.2883 (multiplicity 2)
Ru: 0.0000 0.0000 0.5000 (multiplicity 1)

No. 10
First-principles (meta-GGA SCAN) data for a crystal of In2HgRu relaxed with PBEsol, as listed in Alexandria.

## Properties
- Energy: -168.71 eV per formula unit
- ΔH_f (0 K): 1.05 eV per formula unit

Cell lengths 3.1756, 4.7448, 4.9755 Å; angles 90.00, 90.00, 90.00 degrees
Space group Pmm2 (No. 25)
Unique sites:
In: 0.0000 0.0000 0.0000 (multiplicity 1)
In: 0.0000 0.5000 0.3904 (multiplicity 1)
Hg: 0.5000 0.5000 0.8693 (multiplicity 1)
Ru: 0.5000 0.0000 0.5043 (multiplicity 1)

No. 11
First-principles (meta-GGA SCAN) data for a crystal of InHgRu relaxed with PBEsol, as listed in Alexandria.

## Properties
- Energy: -134.14 eV per formula unit
- ΔH_f (0 K): 2.23 eV per formula unit

Cell lengths 6.2882, 6.2882, 6.2882 Å; angles 90.00, 90.00, 90.00 degrees
Space group F-43m (No. 216)
Unique sites:
In: 0.0000 0.0000 0.0000 (multiplicity 4)
Hg: 0.2500 0.2500 0.2500 (multiplicity 4)
Ru: 0.0000 0.0000 0.5000 (multiplicity 4)

No. 12
First-principles (meta-GGA SCAN) data for a crystal of In3HgS relaxed with PBEsol, as listed in Alexandria.

## Properties
- Energy: -176.62 eV per formula unit

Cell lengths 5.3275, 5.3275, 5.3275 Å; angles 90.00, 90.00, 90.00 degrees
Space group Pm-3m (No. 221)
Unique sites:
In: 0.0000 0.0000 0.5000 (multiplicity 3)
Hg: 0.0000 0.0000 0.0000 (multiplicity 1)
S: 0.5000 0.5000 0.5000 (multiplicity 1)

No. 13
First-principles (meta-GGA SCAN) data for a crystal of InHg2TeS relaxed with PBEsol, as listed in Alexandria.

## Properties
- Energy: -213.78 eV per formula unit

Cell lengths 5.2520, 5.2520, 5.7270 Å; angles 90.00, 90.00, 90.00 degrees
Space group P4/mmm (No. 123)
Unique sites:
In: 0.0000 0.0000 0.0000 (multiplicity 1)
Hg: 0.0000 0.5000 0.0000 (multiplicity 2)
Te: 0.0000 0.0000 0.5000 (multiplicity 1)
S: 0.5000 0.5000 0.5000 (multiplicity 1)

No. 14
First-principles (meta-GGA SCAN) data for a crystal of TlInHgS3 relaxed with PBEsol, as listed in Alexandria.

## Properties
- Energy: -205.69 eV per formula unit

Cell lengths 13.7353, 3.9113, 21.2648 Å; angles 90.00, 103.65, 90.00 degrees
Space group C2/c (No. 15)
Unique sites:
Tl: 0.0061 0.1176 0.4230 (multiplicity 8)
In: 0.2442 0.0720 0.3254 (multiplicity 8)
Hg: 0.0000 0.4198 0.7500 (multiplicity 4)
Hg: 0.2500 0.2500 0.0000 (multiplicity 4)
S: 0.1241 0.4274 0.8498 (multiplicity 8)
S: 0.1452 0.0696 0.2040 (multiplicity 8)
S: 0.1577 0.3979 0.5552 (multiplicity 8)

No. 15
First-principles (meta-GGA SCAN) data for a crystal of InHgSb relaxed with PBEsol, as listed in Alexandria.

## Properties
- Energy: -138.41 eV per formula unit

Cell lengths 3.9013, 3.9013, 9.8478 Å; angles 90.00, 90.00, 90.00 degrees
Space group I4mm (No. 107)
Unique sites:
In: 0.0000 0.0000 0.0000 (multiplicity 2)
Hg: 0.0000 0.0000 0.3324 (multiplicity 2)
Sb: 0.0000 0.0000 0.6654 (multiplicity 2)

No. 16
First-principles (meta-GGA SCAN) data for a crystal of InHg4Sb relaxed with PBEsol, as listed in Alexandria.

## Properties
- Energy: -341.91 eV per formula unit

Cell lengths 8.4135, 8.4135, 8.4135 Å; angles 90.00, 90.00, 90.00 degrees
Space group F-43m (No. 216)
Unique sites:
In: 0.0000 0.0000 0.0000 (multiplicity 4)
Hg: 0.1253 0.1253 0.3747 (multiplicity 16)
Sb: 0.2500 0.2500 0.7500 (multiplicity 4)

No. 17
First-principles (meta-GGA SCAN) data for a crystal of InHgSb3 relaxed with PBEsol, as listed in Alexandria.

## Properties
- Energy: -209.43 eV per formula unit

Cell lengths 5.5514, 5.5514, 5.5514 Å; angles 90.00, 90.00, 90.00 degrees
Space group Pm-3m (No. 221)
Unique sites:
In: 0.0000 0.0000 0.0000 (multiplicity 1)
Hg: 0.5000 0.5000 0.5000 (multiplicity 1)
Sb: 0.0000 0.0000 0.5000 (multiplicity 3)

No. 18
First-principles (meta-GGA SCAN) data for a crystal of Sc2InHg relaxed with PBEsol, as listed in Alexandria.

## Properties
- Energy: -132.51 eV per formula unit
- ΔH_f (0 K): -2.48 eV per formula unit

Cell lengths 6.9749, 6.9749, 6.9749 Å; angles 90.00, 90.00, 90.00 degrees
Space group Fm-3m (No. 225)
Unique sites:
Sc: 0.2500 0.2500 0.2500 (multiplicity 8)
In: 0.0000 0.0000 0.0000 (multiplicity 4)
Hg: 0.0000 0.0000 0.5000 (multiplicity 4)

No. 19
First-principles (meta-GGA SCAN) data for a crystal of Sc2InHg2 relaxed with PBEsol, as listed in Alexandria.

## Properties
- Energy: -201.04 eV per formula unit
- ΔH_f (0 K): -2.85 eV per formula unit

Cell lengths 7.6997, 7.6997, 3.6213 Å; angles 90.00, 90.00, 90.00 degrees
Space group P4/mbm (No. 127)
Unique sites:
Sc: 0.1693 0.3307 0.0000 (multiplicity 4)
In: 0.0000 0.0000 0.5000 (multiplicity 2)
Hg: 0.1310 0.6310 0.5000 (multiplicity 4)

No. 20
First-principles (meta-GGA SCAN) data for a crystal of Sc2InHg relaxed with PBEsol, as listed in Alexandria.

## Properties
- Energy: -132.54 eV per formula unit
- ΔH_f (0 K): -2.51 eV per formula unit

Cell lengths 3.4269, 3.4269, 7.2034 Å; angles 90.00, 90.00, 90.00 degrees
Space group P4/mmm (No. 123)
Unique sites:
Sc: 0.0000 0.0000 0.2440 (multiplicity 2)
In: 0.5000 0.5000 0.5000 (multiplicity 1)
Hg: 0.5000 0.5000 0.0000 (multiplicity 1)